Record 1
Here is crystalline NaIr2Cl at its relaxed geometry from Alexandria. Energies are from PBE.

Properties
Offset from the most stable computed form (eV per formula unit): 0.00
V (Å³/atom): 23.13
Total moment (Bohr magnetons per cell): 0.00
Symmetry: No. 122
Formation energy without anion corrections (meV per atom): 717
Crystal system: tetragonal
Uncorrected energy (eV per formula unit): -18.02

POSCAR file:
```
NaIr2Cl
1.0
4.949 0.000 0.000
0.000 4.949 0.000
0.000 0.000 15.112
Na Ir Cl
4 8 4
direct
0.000 0.000 0.000
0.000 0.500 0.250
0.500 0.000 0.750
0.500 0.500 0.500
0.070 0.750 0.625
0.250 0.070 0.375
0.250 0.430 0.875
0.430 0.750 0.125
0.570 0.250 0.125
0.750 0.570 0.875
0.750 0.930 0.375
0.930 0.250 0.625
0.000 0.000 0.500
0.000 0.500 0.750
0.500 0.000 0.250
0.500 0.500 0.000
```

Record 2
Here is crystalline Na2IrCl7 at its relaxed geometry from Alexandria. Energies are from PBE.

Properties
V (Å³/atom): 30.58
Total moment (Bohr magnetons per cell): 0.00
Symmetry: No. 15
Formation energy without anion corrections (meV per atom): -755
Crystal system: monoclinic
Uncorrected energy (eV per formula unit): -31.97

POSCAR file:
```
Na2IrCl7
1.0
8.680 -3.664 0.000
8.680 3.664 0.000
-7.177 0.000 9.614
Na Ir Cl
4 2 14
direct
0.155 0.698 0.979
0.302 0.845 0.521
0.698 0.155 0.479
0.845 0.302 0.021
0.198 0.802 0.750
0.802 0.198 0.250
0.035 0.264 0.293
0.080 0.735 0.502
0.130 0.870 0.250
0.264 0.035 0.793
0.265 0.920 0.998
0.410 0.475 0.800
0.475 0.410 0.300
0.525 0.590 0.700
0.590 0.525 0.200
0.735 0.080 0.002
0.736 0.965 0.207
0.870 0.130 0.750
0.920 0.265 0.498
0.965 0.736 0.707
```

Record 3
Here is crystalline NaIrCl2 at its relaxed geometry from Alexandria. Energies are from PBE.

Properties
Offset from the most stable computed form (eV per formula unit): 0.00
V (Å³/atom): 19.46
Total moment (Bohr magnetons per cell): 1.41
Symmetry: No. 166
Formation energy without anion corrections (meV per atom): -280
Crystal system: trigonal
Uncorrected energy (eV per formula unit): -14.99

POSCAR file:
```
NaIrCl2
1.0
3.302 0.000 0.000
-1.651 2.860 0.000
0.000 0.000 24.727
Na Ir Cl
3 3 6
direct
0.000 0.000 0.000
0.333 0.667 0.667
0.667 0.333 0.333
0.000 0.000 0.500
0.333 0.667 0.167
0.667 0.333 0.833
0.000 0.000 0.407
0.000 0.000 0.593
0.333 0.667 0.074
0.333 0.667 0.259
0.667 0.333 0.741
0.667 0.333 0.926
```

Record 4
Here is crystalline NaIrCl5 at its relaxed geometry from Alexandria. Energies are from PBE.

Properties
V (Å³/atom): 25.82
Total moment (Bohr magnetons per cell): 2.11
Symmetry: No. 15
Formation energy without anion corrections (meV per atom): -731
Crystal system: monoclinic
Uncorrected energy (eV per formula unit): -24.53

POSCAR file:
```
NaIrCl5
1.0
5.560 -3.913 0.000
5.560 3.913 0.000
-3.047 0.000 8.307
Na Ir Cl
2 2 10
direct
0.021 0.979 0.750
0.979 0.021 0.250
0.500 0.500 0.000
0.500 0.500 0.500
0.144 0.695 0.015
0.193 0.395 0.378
0.305 0.856 0.485
0.391 0.609 0.750
0.395 0.193 0.878
0.605 0.807 0.122
0.609 0.391 0.250
0.695 0.144 0.515
0.807 0.605 0.622
0.856 0.305 0.985
```

Record 5
Here is crystalline NaIrCl6 at its relaxed geometry from Alexandria. Energies are from PBE.

Properties
Offset from the most stable computed form (eV per formula unit): 0.00
V (Å³/atom): 26.82
Total moment (Bohr magnetons per cell): 4.13
Symmetry: No. 15
Formation energy without anion corrections (meV per atom): -691
Crystal system: monoclinic
Uncorrected energy (eV per formula unit): -26.79

POSCAR file:
```
NaIrCl6
1.0
5.275 -3.993 0.000
5.275 3.993 0.000
-0.133 0.000 10.188
Na Ir Cl
2 2 12
direct
0.014 0.986 0.750
0.986 0.014 0.250
0.000 0.500 0.000
0.500 0.000 0.500
0.136 0.545 0.205
0.149 0.198 0.497
0.198 0.149 0.997
0.269 0.601 0.901
0.399 0.731 0.599
0.455 0.864 0.295
0.545 0.136 0.705
0.601 0.269 0.401
0.731 0.399 0.099
0.802 0.851 0.003
0.851 0.802 0.503
0.864 0.455 0.795
```

Record 6
Here is crystalline Na2IrCl8 at its relaxed geometry from Alexandria. Energies are from PBE.

Properties
Offset from the most stable computed form (eV per formula unit): 0.00
V (Å³/atom): 31.91
Total moment (Bohr magnetons per cell): 2.07
Symmetry: No. 12
Formation energy without anion corrections (meV per atom): -760
Crystal system: monoclinic
Uncorrected energy (eV per formula unit): -34.63

POSCAR file:
```
Na2IrCl8
1.0
5.703 -5.770 0.000
5.703 5.770 0.000
-1.084 0.000 5.334
Na Ir Cl
2 1 8
direct
0.215 0.215 0.103
0.785 0.785 0.897
0.500 0.500 0.500
0.003 0.003 0.745
0.277 0.565 0.218
0.318 0.318 0.637
0.435 0.723 0.782
0.565 0.277 0.218
0.682 0.682 0.363
0.723 0.435 0.782
0.997 0.997 0.255
```

Record 7
Here is crystalline Na2IrCl5 at its relaxed geometry from Alexandria. Energies are from PBE.

Properties
Offset from the most stable computed form (eV per formula unit): 0.00
V (Å³/atom): 27.32
Total moment (Bohr magnetons per cell): 0.00
Symmetry: No. 63
Formation energy without anion corrections (meV per atom): -1047
Crystal system: orthorhombic
Uncorrected energy (eV per formula unit): -29.10

POSCAR file:
```
Na2IrCl5
1.0
2.373 -7.127 0.000
2.373 7.127 0.000
0.000 0.000 12.923
Na Ir Cl
4 2 10
direct
0.143 0.857 0.564
0.143 0.857 0.936
0.857 0.143 0.064
0.857 0.143 0.436
0.162 0.838 0.250
0.838 0.162 0.750
0.047 0.953 0.121
0.047 0.953 0.379
0.278 0.722 0.115
0.278 0.722 0.385
0.304 0.696 0.750
0.696 0.304 0.250
0.722 0.278 0.615
0.722 0.278 0.885
0.953 0.047 0.621
0.953 0.047 0.879
```

Record 8
Here is crystalline NaIrCl2 at its relaxed geometry from Alexandria. Energies are from PBE.

Properties
Offset from the most stable computed form (eV per formula unit): 0.50
V (Å³/atom): 23.74
Total moment (Bohr magnetons per cell): 0.00
Symmetry: No. 122
Formation energy without anion corrections (meV per atom): -155
Crystal system: tetragonal
Uncorrected energy (eV per formula unit): -14.49

POSCAR file:
```
NaIrCl2
1.0
5.162 0.000 0.000
0.000 5.162 0.000
0.000 0.000 14.259
Na Ir Cl
4 4 8
direct
0.000 0.000 0.000
0.000 0.500 0.250
0.500 0.000 0.750
0.500 0.500 0.500
0.000 0.000 0.500
0.000 0.500 0.750
0.500 0.000 0.250
0.500 0.500 0.000
0.181 0.250 0.625
0.250 0.681 0.875
0.250 0.819 0.375
0.319 0.250 0.125
0.681 0.750 0.125
0.750 0.181 0.375
0.750 0.319 0.875
0.819 0.750 0.625
```

Which of these has the highest formation energy without anion corrections? NaIr2Cl

What is the uncorrected energy in the fifth record? -26.79 eV per formula unit

The highest total moment belongs to which entry? NaIrCl6